Here is crystalline Fe4CoPt at its relaxed geometry from Alexandria via LeMat-Bulk. Energies are from PBE.

Cell and atoms, written as POSCAR:
```
Fe4CoPt
1.0
1.882 -5.419 0.000
1.882 5.419 0.000
0.000 0.000 3.702
Fe Co Pt
4 1 1
direct
0.167 0.833 0.000 Fe
0.332 0.668 0.500 Fe
0.668 0.332 0.500 Fe
0.833 0.167 0.000 Fe
0.000 0.000 0.500 Co
0.500 0.500 0.000 Pt
```

Results
space group	Cmmm (65)
offset from the most stable computed form	0.0	kJ per mole of atoms



Here is crystalline Fe6CoPt2 at its relaxed geometry from Alexandria via LeMat-Bulk. Energies are from PBE.

Cell and atoms, written as POSCAR:
```
Fe6CoPt2
1.0
6.097 -3.714 0.000
6.097 3.714 0.000
-0.246 0.000 2.572
Fe Co Pt
6 1 2
direct
0.169 0.500 0.167 Fe
0.180 0.820 0.000 Fe
0.500 0.169 0.167 Fe
0.500 0.831 0.833 Fe
0.820 0.180 0.000 Fe
0.831 0.500 0.833 Fe
0.500 0.500 0.500 Co
0.164 0.164 0.524 Pt
0.836 0.836 0.476 Pt
```

Results
space group	C2/m (12)



Number 1: ΔH_f (0 K) -0.030 eV per atom, M_tot 12.912 μB/f.u., DOS at the Fermi energy 1.00 states/eV per atom. Number 2: ΔH_f (0 K) 0.030 eV per atom, M_tot 18.377 μB/f.u., DOS at the Fermi energy 0.87 states/eV per atom.